No. 1
{"formula": "Al12Zn3Pd5", "functional": "PBE-GGA", "state": "relaxed", "sg": "Ia-3d (230)", "delta_e_f_kj_per_mol_fu": -96, "lattice_angstrom": [[12.723, 0.000, 0.000], [-4.241, 11.995, 0.000], [-4.241, -5.997, 10.388]], "species": ["Zn", "Zn", "Zn", "Zn", "Zn", "Zn", "Zn", "Zn", "Zn", "Zn", "Zn", "Zn", "Al", "Al", "Al", "Al", "Al", "Al", "Al", "Al", "Al", "Al", "Al", "Al", "Al", "Al", "Al", "Al", "Al", "Al", "Al", "Al", "Al", "Al", "Al", "Al", "Al", "Al", "Al", "Al", "Al", "Al", "Al", "Al", "Al", "Al", "Al", "Al", "Al", "Al", "Al", "Al", "Al", "Al", "Al", "Al", "Al", "Al", "Al", "Al", "Pd", "Pd", "Pd", "Pd", "Pd", "Pd", "Pd", "Pd", "Pd", "Pd", "Pd", "Pd", "Pd", "Pd", "Pd", "Pd", "Pd", "Pd", "Pd", "Pd"], "frac_coords": [[0.625, 0.250, 0.375], [0.875, 0.125, 0.250], [0.125, 0.875, 0.750], [0.250, 0.125, 0.375], [0.875, 0.750, 0.125], [0.625, 0.375, 0.750], [0.125, 0.250, 0.875], [0.375, 0.625, 0.250], [0.750, 0.875, 0.625], [0.750, 0.375, 0.125], [0.375, 0.750, 0.625], [0.250, 0.625, 0.875], [0.725, 0.135, 0.059], [0.076, 0.166, 0.441], [0.424, 0.365, 0.591], [0.909, 0.834, 0.775], [0.441, 0.666, 0.076], [0.225, 0.559, 0.635], [0.591, 0.725, 0.666], [0.865, 0.591, 0.924], [0.076, 0.909, 0.135], [0.424, 0.059, 0.334], [0.924, 0.834, 0.559], [0.775, 0.441, 0.365], [0.941, 0.576, 0.166], [0.135, 0.725, 0.559], [0.559, 0.225, 0.135], [0.225, 0.666, 0.091], [0.166, 0.076, 0.941], [0.834, 0.909, 0.275], [0.365, 0.424, 0.091], [0.924, 0.091, 0.865], [0.166, 0.091, 0.725], [0.834, 0.924, 0.059], [0.559, 0.334, 0.924], [0.334, 0.559, 0.424], [0.666, 0.441, 0.576], [0.635, 0.576, 0.909], [0.909, 0.076, 0.635], [0.576, 0.941, 0.666], [0.591, 0.865, 0.424], [0.059, 0.635, 0.725], [0.635, 0.059, 0.225], [0.275, 0.409, 0.834], [0.275, 0.865, 0.941], [0.334, 0.775, 0.409], [0.091, 0.166, 0.225], [0.409, 0.275, 0.334], [0.409, 0.135, 0.576], [0.865, 0.275, 0.441], [0.091, 0.924, 0.365], [0.441, 0.775, 0.865], [0.941, 0.365, 0.275], [0.725, 0.591, 0.166], [0.135, 0.409, 0.076], [0.666, 0.225, 0.591], [0.059, 0.424, 0.834], [0.576, 0.635, 0.409], [0.365, 0.941, 0.775], [0.775, 0.334, 0.909], [0.125, 0.375, 0.250], [0.250, 0.375, 0.625], [0.000, 0.500, 0.500], [0.125, 0.750, 0.375], [0.875, 0.625, 0.750], [0.000, 0.500, 0.000], [0.500, 0.000, 0.000], [0.750, 0.125, 0.875], [0.500, 0.500, 0.000], [0.375, 0.125, 0.750], [0.750, 0.625, 0.375], [0.000, 0.000, 0.000], [0.625, 0.750, 0.875], [0.000, 0.000, 0.500], [0.375, 0.250, 0.125], [0.250, 0.875, 0.125], [0.500, 0.500, 0.500], [0.875, 0.250, 0.625], [0.625, 0.875, 0.250], [0.500, 0.000, 0.500]]}

No. 2
{"formula": "AlZn4Pd5", "functional": "PBE-GGA", "state": "relaxed", "sg": "P4/mmm (123)", "delta_e_f_kj_per_mol_fu": -601, "lattice_angstrom": [[3.080, 0.000, 0.000], [0.000, 3.080, 0.000], [0.000, 0.000, 15.225]], "species": ["Pd", "Pd", "Pd", "Pd", "Pd", "Zn", "Zn", "Zn", "Zn", "Al"], "frac_coords": [[0.500, 0.500, 0.903], [0.500, 0.500, 0.700], [0.500, 0.500, 0.300], [0.500, 0.500, 0.097], [0.500, 0.500, 0.500], [0.000, 0.000, 0.201], [0.000, 0.000, 0.599], [0.000, 0.000, 0.401], [0.000, 0.000, 0.799], [0.000, 0.000, 0.000]]}

No. 3
{"formula": "AlZn3Pd3", "functional": "PBE-GGA", "state": "relaxed", "sg": "R-3m (166)", "delta_e_f_kj_per_mol_fu": -353, "lattice_angstrom": [[4.935, -0.016, -1.731], [-2.498, 4.318, -1.767], [0.009, -0.016, 5.230]], "species": ["Zn", "Zn", "Zn", "Pd", "Pd", "Pd", "Al"], "frac_coords": [[0.500, 0.504, 0.500], [0.500, 0.004, 0.000], [0.000, 0.004, 0.500], [0.500, 0.004, 0.500], [0.000, 0.504, 0.500], [0.500, 0.504, 0.000], [0.000, 0.503, 0.000]]}

No. 4
{"formula": "AlZnPd2", "functional": "PBE-GGA", "state": "relaxed", "sg": "Immm (71)", "delta_e_f_kj_per_mol_fu": -30, "lattice_angstrom": [[4.759, -1.526, -2.740], [-1.328, 4.818, 2.740], [-3.341, 0.048, 4.618]], "species": ["Zn", "Pd", "Pd", "Al"], "frac_coords": [[0.000, 0.500, 0.500], [0.000, 0.242, 0.242], [0.000, 0.758, 0.758], [0.000, 0.000, 0.000]]}

What did the second record say?
{"formula": "AlZn4Pd5", "functional": "PBE-GGA", "state": "relaxed", "sg": "P4/mmm (123)", "delta_e_f_kj_per_mol_fu": -601, "lattice_angstrom": [[3.080, 0.000, 0.000], [0.000, 3.080, 0.000], [0.000, 0.000, 15.225]], "species": ["Pd", "Pd", "Pd", "Pd", "Pd", "Zn", "Zn", "Zn", "Zn", "Al"], "frac_coords": [[0.500, 0.500, 0.903], [0.500, 0.500, 0.700], [0.500, 0.500, 0.300], [0.500, 0.500, 0.097], [0.500, 0.500, 0.500], [0.000, 0.000, 0.201], [0.000, 0.000, 0.599], [0.000, 0.000, 0.401], [0.000, 0.000, 0.799], [0.000, 0.000, 0.000]]}